{"formula": "LiMoPb", "functional": "PBEsol", "state": "optimized geometry", "mass_density_g_cm3": 9.99, "vol_a3_per_cell": 52, "polymorph_energy_kj_per_mol_fu": 0, "total_energy_ry_per_atom": -0.397, "lattice_angstrom": [[2.9035, 0.0000, 0.0000], [0.0000, 4.5266, 0.0000], [0.0000, -2.2633, 3.9201]], "species": ["Li", "Mo", "Pb"], "fractional_positions": [[0.1657, 0.0000, 0.0000], [0.6670, 0.3333, 0.6667], [0.1673, 0.6667, 0.3333]]}